The following is a DFT calculation (PBE-GGA) of a geometry-optimized HoEr4Co2 structure.

calculated formation energy: -0.081 eV per atom
volume: 336.5 Å³/cell
M_tot: 0.00 μB/f.u.
theoretical density: 9394 kg/m³
raw total energy: -5.372 eV per atom

a b c (Å): 6.2676 7.7428 7.5403
angles (deg): 113.12 90.00 90.00
Fractional positions:
Co 0.2500 0.2699 0.9862
Co 0.7500 0.7301 0.0138
Co 0.7500 0.3718 0.4087
Co 0.2500 0.6282 0.5913
Ho 0.2500 0.8337 0.9737
Ho 0.7500 0.1663 0.0263
Er 0.5018 0.4134 0.7585
Er 0.2500 0.2506 0.3258
Er 0.7500 0.7494 0.6742
Er 0.9982 0.4134 0.7585
Er 0.7500 0.0184 0.3754
Er 0.0018 0.5866 0.2415
Er 0.4982 0.5866 0.2415
Er 0.2500 0.9816 0.6246